LiCe4Tm3Se8 after structural relaxation, computed with PBE.

**ΔE_f (raw)**: -1.733 eV per atom
**Symmetry**: R-3m
**Magnetization**: 2.58 μB per cell

Lattice parameters (Å, degrees): 8.2699 8.2699 8.2699 59.09 59.09 59.09
Fractional coordinates of all 16 atoms:
Li (0.0000, 0.0000, 0.0000)
Ce (0.0000, 0.0000, 0.5000)
Ce (0.0000, 0.5000, 0.0000)
Ce (0.5000, 0.0000, 0.0000)
Ce (0.5000, 0.5000, 0.5000)
Tm (0.0000, 0.5000, 0.5000)
Tm (0.5000, 0.0000, 0.5000)
Tm (0.5000, 0.5000, 0.0000)
Se (0.2407, 0.2407, 0.7479)
Se (0.2407, 0.7479, 0.2407)
Se (0.2521, 0.7593, 0.7593)
Se (0.2555, 0.2555, 0.2555)
Se (0.7445, 0.7445, 0.7445)
Se (0.7479, 0.2407, 0.2407)
Se (0.7593, 0.2521, 0.7593)
Se (0.7593, 0.7593, 0.2521)


Pu2UHg after structural relaxation, computed with PBE.

**Symmetry**: P4/mmm
**Magnetization**: 8.98 μB per cell
**Calculated formation energy**: 150 meV per atom

Lattice parameters (Å, degrees): 5.4582 5.4582 3.0652 90.00 90.00 90.00
Fractional coordinates of all 4 atoms:
Pu (0.0000, 0.5000, 0.0000)
Pu (0.5000, 0.0000, 0.0000)
U (0.0000, 0.0000, 0.5000)
Hg (0.5000, 0.5000, 0.5000)


CdHg2Sb after structural relaxation, computed with PBE.

**ΔE_f (raw)**: 0.109 eV per atom
**Symmetry**: Imm2
**Magnetization**: 0.00 μB per cell

Lattice parameters (Å, degrees): 3.4258 4.7569 13.3088 90.00 90.00 90.00
Fractional coordinates of all 8 atoms:
Cd (0.0000, 0.0000, 0.0000)
Cd (0.5000, 0.5000, 0.5000)
Hg (0.0000, 0.0000, 0.5590)
Hg (0.0000, 0.5000, 0.7287)
Hg (0.5000, 0.0000, 0.2287)
Hg (0.5000, 0.5000, 0.0590)
Sb (0.0000, 0.5000, 0.3082)
Sb (0.5000, 0.0000, 0.8082)


Mg2NpZnAu4 after structural relaxation, computed with PBE.

**Symmetry**: R-3m
**Magnetization**: 4.28 μB per cell
**Calculated formation energy**: -311 meV per atom

Lattice parameters (Å, degrees): 8.9416 8.9416 8.9416 29.95 29.95 29.95
Fractional coordinates of all 8 atoms:
Mg (0.2397, 0.2397, 0.2397)
Mg (0.7603, 0.7603, 0.7603)
Np (0.0000, 0.0000, 0.0000)
Zn (0.5000, 0.5000, 0.5000)
Au (0.1272, 0.1272, 0.1272)
Au (0.3932, 0.3932, 0.3932)
Au (0.6068, 0.6068, 0.6068)
Au (0.8728, 0.8728, 0.8728)


LiMgTa2 after structural relaxation, computed with PBE.

**Symmetry**: I-42d
**Magnetization**: 0.00 μB per cell
**Calculated formation energy**: 715 meV per atom

Lattice parameters (Å, degrees): 3.7959 3.7959 21.4341 90.00 90.00 90.00
Fractional coordinates of all 16 atoms:
Li (0.0000, 0.0000, 0.0000)
Li (0.0000, 0.5000, 0.2500)
Li (0.5000, 0.0000, 0.7500)
Li (0.5000, 0.5000, 0.5000)
Mg (0.0000, 0.0000, 0.5000)
Mg (0.0000, 0.5000, 0.7500)
Mg (0.5000, 0.0000, 0.2500)
Mg (0.5000, 0.5000, 0.0000)
Ta (0.2493, 0.2500, 0.6250)
Ta (0.2500, 0.7493, 0.8750)
Ta (0.2500, 0.7507, 0.3750)
Ta (0.2507, 0.2500, 0.1250)
Ta (0.7493, 0.7500, 0.1250)
Ta (0.7500, 0.2493, 0.3750)
Ta (0.7500, 0.2507, 0.8750)
Ta (0.7507, 0.7500, 0.6250)


PaNi6As4 after structural relaxation, computed with PBE.

**Symmetry**: P-6m2
**Magnetization**: 0.00 μB per cell
**Calculated formation energy**: -401 meV per atom

Lattice parameters (Å, degrees): 6.8729 6.8729 3.8085 90.00 90.00 120.00
Fractional coordinates of all 11 atoms:
Pa (0.0000, 0.0000, 0.0000)
Ni (0.2046, 0.4092, 0.5000)
Ni (0.2046, 0.7954, 0.5000)
Ni (0.5377, 0.0754, 0.0000)
Ni (0.5377, 0.4623, 0.0000)
Ni (0.5908, 0.7954, 0.5000)
Ni (0.9246, 0.4623, 0.0000)
As (0.3333, 0.6667, 0.0000)
As (0.3772, 0.1886, 0.5000)
As (0.8114, 0.1886, 0.5000)
As (0.8114, 0.6228, 0.5000)


Si2SbIr after structural relaxation, computed with PBE.

**ΔE_f (raw)**: 0.308 eV per atom
**Symmetry**: Immm
**Magnetization**: 0.00 μB per cell

Lattice parameters (Å, degrees): 2.9336 5.0200 9.7633 90.00 90.00 90.00
Fractional coordinates of all 8 atoms:
Si (0.0000, 0.0000, 0.2106)
Si (0.0000, 0.0000, 0.7894)
Si (0.5000, 0.5000, 0.2894)
Si (0.5000, 0.5000, 0.7106)
Sb (0.0000, 0.5000, 0.0000)
Sb (0.5000, 0.0000, 0.5000)
Ir (0.0000, 0.5000, 0.5000)
Ir (0.5000, 0.0000, 0.0000)


CsNdInSe3 after structural relaxation, computed with PBE.

**ΔE_f (raw)**: -1.212 eV per atom
**Symmetry**: P2_1/m
**Magnetization**: 0.00 μB per cell

Lattice parameters (Å, degrees): 9.4347 4.7822 10.5983 90.00 109.19 90.00
Fractional coordinates of all 12 atoms:
Cs (0.2194, 0.2500, 0.2411)
Cs (0.7806, 0.7500, 0.7589)
Nd (0.3344, 0.7500, 0.8656)
Nd (0.6656, 0.2500, 0.1344)
In (0.1096, 0.2500, 0.5985)
In (0.8904, 0.7500, 0.4015)
Se (0.1193, 0.2500, 0.8543)
Se (0.2204, 0.7500, 0.5517)
Se (0.4744, 0.7500, 0.1510)
Se (0.5256, 0.2500, 0.8490)
Se (0.7796, 0.2500, 0.4483)
Se (0.8807, 0.7500, 0.1457)


CaZrRh2 after structural relaxation, computed with PBE.

**Symmetry**: Imm2
**Magnetization**: 0.00 μB per cell
**Calculated formation energy**: -364 meV per atom

Lattice parameters (Å, degrees): 3.4411 4.4290 10.0226 90.00 90.00 90.00
Fractional coordinates of all 8 atoms:
Ca (0.0000, 0.0000, 0.0000)
Ca (0.5000, 0.5000, 0.5000)
Zr (0.0000, 0.5000, 0.2283)
Zr (0.5000, 0.0000, 0.7283)
Rh (0.0000, 0.0000, 0.5158)
Rh (0.0000, 0.5000, 0.7581)
Rh (0.5000, 0.0000, 0.2581)
Rh (0.5000, 0.5000, 0.0158)


Li4PdAu after structural relaxation, computed with PBE.

**Symmetry**: F-43m
**Magnetization**: 0.00 μB per cell
**Calculated formation energy**: -226 meV per atom

Lattice parameters (Å, degrees): 4.9096 4.9096 4.9096 60.00 60.00 60.00
Fractional coordinates of all 6 atoms:
Li (0.1252, 0.1252, 0.1252)
Li (0.1252, 0.1252, 0.6243)
Li (0.1252, 0.6243, 0.1252)
Li (0.6243, 0.1252, 0.1252)
Pd (0.5000, 0.5000, 0.5000)
Au (0.7500, 0.7500, 0.7500)


Pm7BiPb5 after structural relaxation, computed with PBE.

**Symmetry**: Imm2
**Magnetization**: 0.00 μB per cell
**Calculated formation energy**: -386 meV per atom

Lattice parameters (Å, degrees): 8.6598 8.6598 8.6598 135.95 94.48 101.73
Fractional coordinates of all 13 atoms:
Pm (0.0000, 0.0000, 0.0000)
Pm (0.2871, 0.6182, 0.6689)
Pm (0.3971, 0.3971, 0.0000)
Pm (0.4414, 0.1027, 0.3387)
Pm (0.7640, 0.1027, 0.6613)
Pm (0.8526, 0.3526, 0.5000)
Pm (0.9492, 0.6182, 0.3311)
Bi (0.6870, 0.6870, 0.0000)
Pb (0.1060, 0.1154, 0.4943)
Pb (0.1060, 0.6117, 0.9906)
Pb (0.3548, 0.8548, 0.5000)
Pb (0.6212, 0.1154, 0.0094)
Pb (0.6212, 0.6117, 0.5057)


CoIrRu after structural relaxation, computed with PBE.

**Symmetry**: F-43m
**Magnetization**: 5.37 μB per cell
**Calculated formation energy**: 576 meV per atom

Lattice parameters (Å, degrees): 5.6257 5.6257 5.6257 90.00 90.00 90.00
Fractional coordinates of all 12 atoms:
Co (0.0000, 0.0000, 0.0000)
Co (0.0000, 0.5000, 0.5000)
Co (0.5000, 0.0000, 0.5000)
Co (0.5000, 0.5000, 0.0000)
Ir (0.2500, 0.2500, 0.2500)
Ir (0.2500, 0.7500, 0.7500)
Ir (0.7500, 0.2500, 0.7500)
Ir (0.7500, 0.7500, 0.2500)
Ru (0.2500, 0.2500, 0.7500)
Ru (0.2500, 0.7500, 0.2500)
Ru (0.7500, 0.2500, 0.2500)
Ru (0.7500, 0.7500, 0.7500)


Which energy belongs to each record? In order, -5.917 -9.913 -1.301 -4.125 -6.088 -6.109 -5.650 -4.347 -6.677 -2.914 -4.669 -7.838 eV per atom.